# 1
DFT (PBE-GGA) results for a geometry-optimized ZrAl2Cu structure.

Cell and atoms, written as POSCAR:
```
ZrAl2Cu
1.0
4.035 0.000 0.000
-2.018 3.495 0.000
0.000 0.000 5.375
Zr Al Cu
1 2 1
direct
0.000 0.000 0.000 Zr
0.333 0.667 0.653 Al
0.667 0.333 0.347 Al
0.000 0.000 0.500 Cu
```

Computed properties:
Space-group type = No. 164
Size of the total moment = 0.00 μB per formula unit
Formation energy = -11.8 kJ/mol of formula units

***

# 2
DFT (PBE-GGA) results for a geometry-optimized Li2CdSi structure.

Cell and atoms, written as POSCAR:
```
Li2CdSi
1.0
3.364 0.000 0.000
0.000 3.364 0.000
0.000 0.000 6.027
Li Cd Si
2 1 1
direct
0.000 0.000 0.000 Li
0.500 0.500 0.254 Li
0.500 0.500 0.751 Cd
0.000 0.000 0.469 Si
```

Computed properties:
Raw total energy = -2.580 eV per atom
Space-group type = No. 99
Size of the total moment = 0.00 μB per formula unit